[1]
First-principles (PBE) data for a relaxed Mg3VHg crystal, as listed in Alexandria.

Unit cell a=5.352 b=5.352 c=5.352 alpha=90.00 beta=90.00 gamma=90.00
Fractional positions:
Mg1 0.000 0.000 0.500
Mg2 0.000 0.500 0.000
Mg3 0.500 0.000 0.000
V1 0.000 0.000 0.000
Hg1 0.500 0.500 0.500

Results
DFT formation energy, eV per atom: 0.785
Distance to the lowest polymorph of the same formula, meV/atom: 108



[2]
First-principles (PBE) data for a relaxed MgVHg2 crystal, as listed in Alexandria.

Unit cell a=10.251 b=10.251 c=10.251 alpha=155.54 beta=155.54 gamma=34.86
Fractional positions:
Mg1 0.000 0.000 0.000
Mg2 0.750 0.250 0.500
V1 0.250 0.750 0.500
V2 0.500 0.500 0.000
Hg1 0.132 0.625 0.007
Hg2 0.375 0.382 0.507
Hg3 0.618 0.125 0.993
Hg4 0.875 0.868 0.493

Results
DFT formation energy, eV per atom: 0.456



[3]
First-principles (PBE) data for a relaxed MgVHg2 crystal, as listed in Alexandria.

Unit cell a=10.592 b=10.592 c=10.592 alpha=17.03 beta=17.03 gamma=17.03
Fractional positions:
Mg1 0.000 0.000 0.000
V1 0.500 0.500 0.500
Hg1 0.411 0.411 0.411
Hg2 0.589 0.589 0.589

Results
DFT formation energy, eV per atom: 0.479



[4]
First-principles (PBE) data for a relaxed Mg2VHg crystal, as listed in Alexandria.

Unit cell a=6.194 b=6.194 c=6.194 alpha=102.66 beta=102.66 gamma=124.17
Fractional positions:
Mg1 0.112 0.625 0.987
Mg2 0.375 0.362 0.487
Mg3 0.638 0.125 0.013
Mg4 0.875 0.888 0.513
V1 0.250 0.750 0.500
V2 0.500 0.500 0.000
Hg1 0.000 0.000 0.000
Hg2 0.750 0.250 0.500

Results
DFT formation energy, eV per atom: 0.441



no.,V (Å³ per cell)
1,153.3
2,184.5
3,89.0
4,173.8